Entry 1:
Computed, not measured: a relaxed structure of Tb3Sm2Tm7 at the PBE level of DFT.

a b c (Å): 3.5796 5.6304 18.9556
angles (deg): 98.54 90.00 90.00
Atoms (fractional coordinates):
Tb1 0.5000 0.5000 0.0000
Tb2 0.5000 0.6857 0.3714
Tb3 0.5000 0.3143 0.6286
Sm1 0.0000 0.8533 0.7066
Sm2 0.0000 0.1467 0.2934
Tm1 0.0000 0.4104 0.8208
Tm2 0.0000 0.7696 0.5392
Tm3 0.0000 0.0000 0.0000
Tm4 0.0000 0.5896 0.1792
Tm5 0.5000 0.0709 0.1418
Tm6 0.5000 0.9291 0.8582
Tm7 0.0000 0.2304 0.4608

Results
space-group type: Cmmm (65)


Entry 2:
Computed, not measured: a relaxed structure of TbSm8Tm3 at the PBE level of DFT.

a b c (Å): 11.9116 12.6561 9.7756
angles (deg): 147.24 90.00 118.07
Atoms (fractional coordinates):
Tb1 0.0000 0.0000 0.0000
Sm1 0.3202 0.6404 0.9794
Sm2 0.6798 0.3596 0.0206
Sm3 0.3246 0.1393 0.9725
Sm4 0.8147 0.1393 0.9725
Sm5 0.8214 0.6427 0.9723
Sm6 0.1786 0.3573 0.0277
Sm7 0.1853 0.8607 0.0275
Sm8 0.6754 0.8607 0.0275
Tm1 0.5000 0.0000 0.0000
Tm2 0.5000 0.5000 0.0000
Tm3 0.0000 0.5000 0.0000

Results
space-group type: C2/m (12)


Entry 3:
Computed, not measured: a relaxed structure of Tb2SmTm9 at the PBE level of DFT.

a b c (Å): 4.9658 4.9658 14.8869
angles (deg): 90.00 90.00 90.00
Atoms (fractional coordinates):
Tb1 0.0000 0.0000 0.3336
Tb2 0.0000 0.0000 0.6664
Sm1 0.0000 0.0000 0.0000
Tm1 0.5000 0.5000 0.0000
Tm2 0.5000 0.5000 0.3341
Tm3 0.5000 0.5000 0.6659
Tm4 0.5000 0.0000 0.1677
Tm5 0.5000 0.0000 0.5000
Tm6 0.5000 0.0000 0.8323
Tm7 0.0000 0.5000 0.1677
Tm8 0.0000 0.5000 0.5000
Tm9 0.0000 0.5000 0.8323

Results
space-group type: P4/mmm (123)


Entry 4:
Computed, not measured: a relaxed structure of Tb4SmTm7 at the PBE level of DFT.

a b c (Å): 6.9278 6.7018 12.0684
angles (deg): 72.65 44.60 76.25
Atoms (fractional coordinates):
Tb1 0.4518 0.6538 0.3172
Tb2 0.5482 0.3462 0.6828
Tb3 0.7274 0.8135 0.6655
Tb4 0.2726 0.1865 0.3345
Sm1 0.0000 0.0000 0.0000
Tm1 0.7746 0.5184 0.9754
Tm2 0.2254 0.4816 0.0246
Tm3 0.0653 0.3237 0.6708
Tm4 0.9347 0.6763 0.3292
Tm5 0.2579 0.8208 0.6337
Tm6 0.5000 0.0000 0.0000
Tm7 0.7421 0.1792 0.3663

Results
space-group type: P-1 (2)


no.,formation energy from the elements (eV/atom),density of states at the Fermi level (states/eV/cell)
1,0.112,17.88
2,0.120,23.88
3,0.026,16.85
4,0.081,19.32